[1]
{"formula": "BaMg6CO8", "functional": "PBE", "state": "optimized geometry", "relative_energy_mev_per_atom": 0, "e_form_raw_ev_per_atom": -1.6818, "magmom_total_mub_per_fu": 0.807, "volume_a3_per_cell": 187, "lattice": [[4.558, 0.000, 0.000], [0.000, 4.558, 0.000], [0.000, 0.000, 9.003]], "species": ["Ba", "Mg", "Mg", "Mg", "Mg", "Mg", "Mg", "C", "O", "O", "O", "O", "O", "O", "O", "O"], "frac_coords": [[0.000, 0.000, 0.000], [0.000, 0.000, 0.500], [0.000, 0.500, 0.269], [0.000, 0.500, 0.731], [0.500, 0.000, 0.269], [0.500, 0.000, 0.731], [0.500, 0.500, 0.500], [0.500, 0.500, 0.000], [0.000, 0.000, 0.282], [0.000, 0.000, 0.718], [0.000, 0.500, 0.000], [0.000, 0.500, 0.500], [0.500, 0.000, 0.000], [0.500, 0.000, 0.500], [0.500, 0.500, 0.263], [0.500, 0.500, 0.737]]}

[2]
{"formula": "BaMg2PC", "functional": "PBE", "state": "optimized geometry", "formation_enthalpy_0k_ev_per_atom": 2.16, "magmom_total_mub_per_fu": 2.020, "volume_a3_per_cell": 289, "lattice": [[7.190, 0.000, 0.000], [0.000, 7.190, 0.000], [0.000, 0.000, 5.590]], "species": ["Ba", "Mg", "Mg", "P", "C"], "frac_coords": [[0.000, 0.000, 0.000], [0.000, 0.500, 0.000], [0.500, 0.000, 0.000], [0.000, 0.000, 0.500], [0.500, 0.500, 0.500]]}

[3]
{"formula": "Ba2MgPtC", "functional": "PBE", "state": "optimized geometry", "formation_enthalpy_0k_ev_per_atom": -0.11, "magmom_total_mub_per_fu": 0.000, "volume_a3_per_cell": 144, "lattice": [[6.063, 0.000, 0.000], [0.000, 6.063, 0.000], [0.000, 0.000, 3.912]], "species": ["Ba", "Ba", "Mg", "Pt", "C"], "frac_coords": [[0.000, 0.500, 0.000], [0.500, 0.000, 0.000], [0.000, 0.000, 0.500], [0.500, 0.500, 0.500], [0.500, 0.500, 0.000]]}

[4]
{"formula": "RbBaMg2C", "functional": "PBE", "state": "optimized geometry", "formation_enthalpy_0k_ev_per_atom": 1.24, "magmom_total_mub_per_fu": 0.000, "volume_a3_per_cell": 230, "lattice": [[6.918, 0.000, 0.000], [0.000, 6.918, 0.000], [0.000, 0.000, 4.799]], "species": ["Rb", "Ba", "Mg", "Mg", "C"], "frac_coords": [[0.000, 0.000, 0.000], [0.500, 0.500, 0.500], [0.000, 0.500, 0.500], [0.500, 0.000, 0.500], [0.500, 0.500, 0.000]]}

[5]
{"formula": "Ba2MgRhC", "functional": "PBE", "state": "optimized geometry", "formation_enthalpy_0k_ev_per_atom": 0.07, "magmom_total_mub_per_fu": 0.000, "volume_a3_per_cell": 142, "lattice": [[6.002, 0.000, 0.000], [0.000, 6.002, 0.000], [0.000, 0.000, 3.936]], "species": ["Ba", "Ba", "Mg", "Rh", "C"], "frac_coords": [[0.000, 0.500, 0.000], [0.500, 0.000, 0.000], [0.000, 0.000, 0.500], [0.500, 0.500, 0.500], [0.500, 0.500, 0.000]]}

[6]
{"formula": "BaMn2C", "functional": "PBE", "state": "optimized geometry", "formation_enthalpy_0k_ev_per_atom": 0.41, "magmom_total_mub_per_fu": 5.489, "volume_a3_per_cell": 168, "lattice": [[-3.094, 3.094, 4.384], [3.094, -3.094, 4.384], [3.094, 3.094, -4.384]], "species": ["Ba", "Ba", "Mn", "Mn", "Mn", "Mn", "C", "C"], "frac_coords": [[0.375, 0.625, 0.750], [0.625, 0.375, 0.250], [0.000, 0.000, 0.000], [0.000, 0.000, 0.500], [0.000, 0.500, 0.000], [0.500, 0.000, 0.500], [0.125, 0.875, 0.250], [0.875, 0.125, 0.750]]}

[7]
{"formula": "BaMnC2N", "functional": "PBE", "state": "optimized geometry", "e_form_raw_ev_per_atom": 0.9622, "magmom_total_mub_per_fu": 0.000, "volume_a3_per_cell": 66, "lattice": [[3.785, 0.000, 0.000], [0.000, 3.785, 0.000], [0.000, 0.000, 4.593]], "species": ["Ba", "Mn", "C", "C", "N"], "frac_coords": [[0.000, 0.000, 0.000], [0.500, 0.500, 0.500], [0.000, 0.500, 0.500], [0.500, 0.000, 0.500], [0.500, 0.500, 0.000]]}